# 1
Here is a relaxed CrRe2TcHg crystal from Alexandria via LeMat-Bulk. Energies are from PBE.

Cell: 4.431 4.431 4.841 Å, 90.00 90.00 90.00°
Positions (direct):
1 Cr 0.000 0.000 0.000
2 Re 0.000 0.500 0.000
3 Re 0.500 0.000 0.000
4 Tc 0.500 0.500 0.500
5 Hg 0.000 0.000 0.500

The value obtained for the formation energy is 1.8694 eV per atom.


# 2
Here is a relaxed ZnOsIN2 crystal from Alexandria via LeMat-Bulk. Energies are from PBE.

Cell: 3.854 3.854 6.581 Å, 90.00 90.00 90.00°
Positions (direct):
1 Zn 0.000 0.000 0.000
2 Os 0.500 0.500 0.500
3 I 0.000 0.000 0.500
4 N 0.000 0.500 0.000
5 N 0.500 0.000 0.000

For the energy above the most stable polymorph in this dataset, the calculation gives 1520 meV/atom.


# 3
Here is a relaxed Ge4Te2SeS crystal from Alexandria via LeMat-Bulk. Energies are from PBE.

Cell: 7.280 5.937 7.103 Å, 67.19 48.74 64.07°
Positions (direct):
1 Ge 0.245 0.755 0.245
2 Ge 0.487 0.958 0.513
3 Ge 0.755 0.245 0.755
4 Ge 0.958 0.487 0.042
5 Te 0.277 0.277 0.223
6 Te 0.777 0.777 0.723
7 Se 0.023 0.023 0.977
8 S 0.544 0.544 0.456

The electronic total energy is -4.16 eV/atom.


# 4
Here is a relaxed Ac2Pm5Sm5 crystal from Alexandria via LeMat-Bulk. Energies are from PBE.

Cell: 8.279 8.279 11.684 Å, 115.14 115.14 36.84°
Positions (direct):
1 Ac 0.083 0.083 0.249
2 Ac 0.917 0.917 0.751
3 Pm 0.334 0.334 0.499
4 Pm 0.413 0.413 0.249
5 Pm 0.500 0.500 0.000
6 Pm 0.587 0.587 0.751
7 Pm 0.666 0.666 0.501
8 Sm 0.000 0.000 0.500
9 Sm 0.170 0.170 0.001
10 Sm 0.246 0.246 0.749
11 Sm 0.754 0.754 0.251
12 Sm 0.830 0.830 0.999

The value obtained for the formation energy is 0.0297 eV per atom.


# 5
Here is a relaxed Be2HOs crystal from Alexandria via LeMat-Bulk. Energies are from PBE.

Cell: 6.555 6.555 6.555 Å, 24.19 24.19 24.19°
Positions (direct):
1 Be 0.075 0.075 0.075
2 Be 0.925 0.925 0.925
3 H 0.000 0.000 0.000
4 Os 0.500 0.500 0.500

For the energy above the most stable polymorph in this dataset, the calculation gives 4 meV/atom.


# 6
Here is a relaxed KZrHg2 crystal from Alexandria via LeMat-Bulk. Energies are from PBE.

Cell: 3.096 5.703 5.703 Å, 90.00 90.00 90.00°
Positions (direct):
1 K 0.000 0.000 0.000
2 Zr 0.000 0.500 0.503
3 Hg 0.500 0.000 0.500
4 Hg 0.500 0.500 0.004

The value obtained for the formation energy is 0.0291 eV per atom. For the energy above the most stable polymorph in this dataset, the calculation gives 73 meV/atom.


# 7
Here is a relaxed PmScNi2H8 crystal from Alexandria via LeMat-Bulk. Energies are from PBE.

Cell: 6.699 6.699 6.699 Å, 39.19 39.19 39.19°
Positions (direct):
1 Pm 0.000 0.000 0.000
2 Sc 0.500 0.500 0.500
3 Ni 0.240 0.240 0.240
4 Ni 0.760 0.760 0.760
5 H 0.081 0.401 0.833
6 H 0.167 0.919 0.599
7 H 0.324 0.324 0.324
8 H 0.401 0.833 0.081
9 H 0.599 0.167 0.919
10 H 0.676 0.676 0.676
11 H 0.833 0.081 0.401
12 H 0.919 0.599 0.167

The electronic total energy is -4.38 eV/atom.


# 8
Here is a relaxed CaTcSbI2 crystal from Alexandria via LeMat-Bulk. Energies are from PBE.

Cell: 5.828 5.828 6.364 Å, 90.00 90.00 90.00°
Positions (direct):
1 Ca 0.000 0.000 0.000
2 Tc 0.500 0.500 0.500
3 Sb 0.000 0.000 0.500
4 I 0.000 0.500 0.000
5 I 0.500 0.000 0.000

For the energy above the most stable polymorph in this dataset, the calculation gives 608 meV/atom.


# 9
Here is a relaxed BC2 crystal from Alexandria via LeMat-Bulk. Energies are from PBE.

Cell: 4.671 4.671 5.319 Å, 110.53 110.53 45.48°
Positions (direct):
1 B 0.000 0.000 0.000
2 B 0.336 0.331 0.167
3 B 0.669 0.664 0.833
4 B 0.999 0.001 0.500
5 C 0.250 0.729 0.750
6 C 0.271 0.750 0.250
7 C 0.333 0.331 0.664
8 C 0.575 0.099 0.905
9 C 0.578 0.073 0.425
10 C 0.669 0.667 0.336
11 C 0.901 0.425 0.095
12 C 0.927 0.422 0.575

The value obtained for the formation energy is 0.3511 eV per atom. For the energy above the most stable polymorph in this dataset, the calculation gives 111 meV/atom.


# 10
Here is a relaxed Be2AuSe crystal from Alexandria via LeMat-Bulk. Energies are from PBE.

Cell: 3.269 3.298 6.679 Å, 90.00 90.00 90.00°
Positions (direct):
1 Be 0.000 0.000 0.000
2 Be 0.000 0.500 0.500
3 Au 0.500 0.000 0.500
4 Se 0.500 0.500 0.000

The electronic total energy is -3.38 eV/atom.


# 11
Here is a relaxed ReNiW2 crystal from Alexandria via LeMat-Bulk. Energies are from PBE.

Cell: 4.692 4.692 4.692 Å, 130.33 130.33 72.88°
Positions (direct):
1 Re 0.000 0.000 0.000
2 Ni 0.500 0.500 0.000
3 W 0.250 0.750 0.500
4 W 0.750 0.250 0.500

The value obtained for the formation energy is 0.0704 eV per atom. For the energy above the most stable polymorph in this dataset, the calculation gives 14 meV/atom.


# 12
Here is a relaxed ZrMn2Tc crystal from Alexandria via LeMat-Bulk. Energies are from PBE.

Cell: 2.977 2.977 6.871 Å, 90.00 90.00 90.00°
Positions (direct):
1 Zr 0.000 0.000 0.000
2 Mn 0.000 0.000 0.503
3 Mn 0.500 0.500 0.284
4 Tc 0.500 0.500 0.694

The value obtained for the formation energy is 0.0779 eV per atom. For the energy above the most stable polymorph in this dataset, the calculation gives 51 meV/atom.


# 13
Here is a relaxed K8Rb2O crystal from Alexandria via LeMat-Bulk. Energies are from PBE.

Cell: 8.389 8.389 12.676 Å, 109.19 109.19 59.77°
Positions (direct):
1 K 0.079 0.079 0.188
2 K 0.172 0.624 0.357
3 K 0.363 0.363 0.596
4 K 0.376 0.828 0.643
5 K 0.624 0.172 0.357
6 K 0.637 0.637 0.404
7 K 0.828 0.376 0.643
8 K 0.921 0.921 0.812
9 Rb 0.331 0.331 0.978
10 Rb 0.669 0.669 0.022
11 O 0.500 0.500 0.500

The electronic total energy is -1.71 eV/atom.


# 14
Here is a relaxed Dy4TmSn2 crystal from Alexandria via LeMat-Bulk. Energies are from PBE.

Cell: 9.554 9.554 9.554 Å, 32.53 32.53 32.53°
Positions (direct):
1 Dy 0.126 0.126 0.126
2 Dy 0.277 0.277 0.277
3 Dy 0.723 0.723 0.723
4 Dy 0.874 0.874 0.874
5 Tm 0.500 0.500 0.500
6 Sn 0.391 0.391 0.391
7 Sn 0.609 0.609 0.609

The value obtained for the formation energy is -0.2153 eV per atom.


# 15
Here is a relaxed CaAs2 crystal from Alexandria via LeMat-Bulk. Energies are from PBE.

Cell: 5.096 5.096 6.027 Å, 90.00 90.00 120.00°
Positions (direct):
1 Ca 0.333 0.667 0.250
2 Ca 0.667 0.333 0.750
3 As 0.000 0.000 0.000
4 As 0.000 0.000 0.500
5 As 0.333 0.667 0.750
6 As 0.667 0.333 0.250

The value obtained for the formation energy is -0.3816 eV per atom.


# 16
Here is a relaxed ScCdFe2 crystal from Alexandria via LeMat-Bulk. Energies are from PBE.

Cell: 5.246 5.246 5.246 Å, 143.75 130.09 63.23°
Positions (direct):
1 Sc 0.000 0.000 0.000
2 Cd 0.279 0.779 0.500
3 Fe 0.538 0.538 0.000
4 Fe 0.730 0.230 0.500

The value obtained for the formation energy is 0.0687 eV per atom.


# 17
Here is a relaxed LaIn2Fe crystal from Alexandria via LeMat-Bulk. Energies are from PBE.

Cell: 4.990 4.990 4.565 Å, 90.00 90.00 117.97°
Positions (direct):
1 La 0.000 0.000 0.000
2 In 0.331 0.669 0.500
3 In 0.669 0.331 0.500
4 Fe 0.500 0.500 0.000

The value obtained for the formation energy is -0.0699 eV per atom.


# 18
Here is a relaxed TbSm4Er3 crystal from Alexandria via LeMat-Bulk. Energies are from PBE.

Cell: 13.289 13.289 3.604 Å, 90.09 90.09 24.56°
Positions (direct):
1 Tb 0.000 0.000 0.000
2 Sm 0.103 0.103 0.500
3 Sm 0.223 0.223 0.500
4 Sm 0.777 0.777 0.500
5 Sm 0.897 0.897 0.500
6 Er 0.348 0.348 0.000
7 Er 0.500 0.500 0.500
8 Er 0.652 0.652 0.000

The value obtained for the formation energy is 0.2025 eV per atom. For the energy above the most stable polymorph in this dataset, the calculation gives 182 meV/atom.